No. 1
Here is crystalline ThScTlIn at its relaxed geometry from the Alexandria database. Energies are from PBE.

* calculated total energy: -4.908 eV/atom
* polymorph energy (0 for the lowest one): 32 kJ/mol of formula units
* N(E_F): 1.0877 states/eV per atom
* M_tot: 0.00 μB/cell
* calculated volume: 106.8 Å³/cell

a = 5.325 Å, b = 5.325 Å, c = 5.325 Å
α = 60.00°, β = 60.00°, γ = 60.00°
Fractional coordinates of all 4 atoms:
Th  0.000  0.000  0.000
Sc  0.500  0.500  0.500
Tl  0.750  0.750  0.750
In  0.250  0.250  0.250

---

No. 2
Here is crystalline ThScTlIn at its relaxed geometry from the Alexandria database. Energies are from PBE.

* calculated total energy: -4.990 eV/atom
* polymorph energy (0 for the lowest one): 0 kJ/mol of formula units
* N(E_F): 0.9151 states/eV per atom
* M_tot: 0.04 μB/cell
* calculated volume: 103.8 Å³/cell

a = 3.484 Å, b = 3.484 Å, c = 8.553 Å
α = 90.00°, β = 90.00°, γ = 90.00°
Fractional coordinates of all 4 atoms:
Th  0.000  0.000  0.000
Sc  0.000  0.000  0.496
Tl  0.500  0.500  0.724
In  0.500  0.500  0.271

---

No. 3
Here is crystalline ThSc2Zn2In2 at its relaxed geometry from the Alexandria database. Energies are from PBE.

* calculated total energy: -4.216 eV/atom
* N(E_F): 0.9894 states/eV per atom
* M_tot: 0.00 μB/cell
* calculated volume: 161.4 Å³/cell

a = 8.872 Å, b = 8.872 Å, c = 8.872 Å
α = 30.69°, β = 30.69°, γ = 30.69°
Fractional coordinates of all 7 atoms:
Th  0.000  0.000  0.000
Sc  0.135  0.135  0.135
Sc  0.865  0.865  0.865
Zn  0.439  0.439  0.439
Zn  0.561  0.561  0.561
In  0.259  0.259  0.259
In  0.741  0.741  0.741

---

No. 4
Here is crystalline Sc2Ti2In3 at its relaxed geometry from the Alexandria database. Energies are from PBE.

* calculated total energy: -5.457 eV/atom
* N(E_F): 0.8529 states/eV per atom
* M_tot: 3.37 μB/cell
* calculated volume: 146.1 Å³/cell

a = 10.763 Å, b = 10.763 Å, c = 3.044 Å
α = 90.00°, β = 90.00°, γ = 155.53°
Fractional coordinates of all 7 atoms:
Sc  0.075  0.925  0.000
Sc  0.925  0.075  0.000
Ti  0.215  0.785  0.000
Ti  0.785  0.215  0.000
In  0.344  0.656  0.500
In  0.500  0.500  0.500
In  0.656  0.344  0.500

---

No. 5
Here is crystalline ScTi3In at its relaxed geometry from the Alexandria database. Energies are from PBE.

* calculated total energy: -5.526 eV/atom
* polymorph energy (0 for the lowest one): 0 kJ/mol of formula units
* N(E_F): 1.5662 states/eV per atom
* M_tot: 1.74 μB/cell
* calculated volume: 105.9 Å³/cell

a = 4.732 Å, b = 4.732 Å, c = 4.732 Å
α = 90.00°, β = 90.00°, γ = 90.00°
Fractional coordinates of all 5 atoms:
Sc  0.000  0.000  0.000
Ti  0.000  0.000  0.500
Ti  0.000  0.500  0.000
Ti  0.500  0.000  0.000
In  0.500  0.500  0.500

---

No. 6
Here is crystalline ScTi2In at its relaxed geometry from the Alexandria database. Energies are from PBE.

* calculated total energy: -5.841 eV/atom
* N(E_F): 1.1872 states/eV per atom
* M_tot: 2.96 μB/cell
* calculated volume: 169.0 Å³/cell

a = 6.141 Å, b = 6.141 Å, c = 6.141 Å
α = 102.55°, β = 102.55°, γ = 124.44°
Fractional coordinates of all 8 atoms:
Sc  0.000  0.000  0.000
Sc  0.750  0.250  0.500
Ti  0.134  0.625  0.009
Ti  0.375  0.384  0.509
Ti  0.616  0.125  0.991
Ti  0.875  0.866  0.491
In  0.250  0.750  0.500
In  0.500  0.500  0.000

---

No. 7
Here is crystalline Sc2Ti2In7 at its relaxed geometry from the Alexandria database. Energies are from PBE.

* calculated total energy: -4.128 eV/atom
* N(E_F): 0.7812 states/eV per atom
* M_tot: 0.12 μB/cell
* calculated volume: 283.9 Å³/cell

a = 6.557 Å, b = 6.557 Å, c = 6.721 Å
α = 90.00°, β = 90.00°, γ = 100.79°
Fractional coordinates of all 11 atoms:
Sc  0.179  0.179  0.000
Sc  0.821  0.821  0.000
Ti  0.285  0.715  0.500
Ti  0.715  0.285  0.500
In  0.000  0.000  0.500
In  0.000  0.500  0.224
In  0.000  0.500  0.776
In  0.500  0.000  0.224
In  0.500  0.000  0.776
In  0.500  0.500  0.221
In  0.500  0.500  0.779

---

No. 8
Here is crystalline ScTi4In at its relaxed geometry from the Alexandria database. Energies are from PBE.

* calculated total energy: -6.706 eV/atom
* N(E_F): 1.5291 states/eV per atom
* M_tot: 3.58 μB/cell
* calculated volume: 116.2 Å³/cell

a = 5.478 Å, b = 5.478 Å, c = 5.478 Å
α = 60.00°, β = 60.00°, γ = 60.00°
Fractional coordinates of all 6 atoms:
Sc  0.000  0.000  0.000
Ti  0.372  0.372  0.372
Ti  0.372  0.372  0.883
Ti  0.372  0.883  0.372
Ti  0.883  0.372  0.372
In  0.750  0.750  0.750

---

No. 9
Here is crystalline Sc2TiIn at its relaxed geometry from the Alexandria database. Energies are from PBE.

* calculated total energy: -5.905 eV/atom
* N(E_F): 1.1891 states/eV per atom
* M_tot: 0.00 μB/cell
* calculated volume: 88.2 Å³/cell

a = 10.089 Å, b = 10.089 Å, c = 10.089 Å
α = 18.27°, β = 18.27°, γ = 18.27°
Fractional coordinates of all 4 atoms:
Sc  0.247  0.247  0.247
Sc  0.753  0.753  0.753
Ti  0.500  0.500  0.500
In  0.000  0.000  0.000

---

No. 10
Here is crystalline Sc2TiIn at its relaxed geometry from the Alexandria database. Energies are from PBE.

* calculated total energy: -5.999 eV/atom
* N(E_F): 1.0902 states/eV per atom
* M_tot: 0.00 μB/cell
* calculated volume: 86.4 Å³/cell

a = 3.244 Å, b = 3.244 Å, c = 8.208 Å
α = 90.00°, β = 90.00°, γ = 90.00°
Fractional coordinates of all 4 atoms:
Sc  0.000  0.000  0.241
Sc  0.000  0.000  0.759
Ti  0.500  0.500  0.000
In  0.500  0.500  0.500

---

No. 11
Here is crystalline ScTiIn2 at its relaxed geometry from the Alexandria database. Energies are from PBE.

* calculated total energy: -5.130 eV/atom
* polymorph energy (0 for the lowest one): 23 kJ/mol of formula units
* N(E_F): 0.7114 states/eV per atom
* M_tot: 0.78 μB/cell
* calculated volume: 84.0 Å³/cell

a = 3.606 Å, b = 3.606 Å, c = 6.464 Å
α = 90.00°, β = 90.00°, γ = 90.00°
Fractional coordinates of all 4 atoms:
Sc  0.000  0.000  0.000
Ti  0.000  0.000  0.500
In  0.500  0.500  0.263
In  0.500  0.500  0.737

---

No. 12
Here is crystalline ScTiIn at its relaxed geometry from the Alexandria database. Energies are from PBE.

* calculated total energy: -5.878 eV/atom
* polymorph energy (0 for the lowest one): 0 kJ/mol of formula units
* N(E_F): 1.1695 states/eV per atom
* M_tot: 0.00 μB/cell
* calculated volume: 124.6 Å³/cell

a = 3.357 Å, b = 4.833 Å, c = 7.859 Å
α = 90.00°, β = 102.33°, γ = 90.00°
Fractional coordinates of all 6 atoms:
Sc  0.075  0.250  0.150
Sc  0.925  0.750  0.850
Ti  0.263  0.750  0.525
Ti  0.737  0.250  0.475
In  0.391  0.250  0.783
In  0.609  0.750  0.217

---

No. 13
Here is crystalline ScTiIn2 at its relaxed geometry from the Alexandria database. Energies are from PBE.

* calculated total energy: -5.114 eV/atom
* polymorph energy (0 for the lowest one): 29 kJ/mol of formula units
* N(E_F): 1.0337 states/eV per atom
* M_tot: 1.18 μB/cell
* calculated volume: 84.0 Å³/cell

a = 4.916 Å, b = 4.916 Å, c = 4.916 Å
α = 60.00°, β = 60.00°, γ = 60.00°
Fractional coordinates of all 4 atoms:
Sc  0.000  0.000  0.000
Ti  0.500  0.500  0.500
In  0.250  0.250  0.250
In  0.750  0.750  0.750

---

No. 14
Here is crystalline Sc2TiIn2 at its relaxed geometry from the Alexandria database. Energies are from PBE.

* calculated total energy: -5.189 eV/atom
* polymorph energy (0 for the lowest one): 83 kJ/mol of formula units
* N(E_F): 1.3257 states/eV per atom
* M_tot: 3.83 μB/cell
* calculated volume: 229.8 Å³/cell

a = 8.440 Å, b = 8.440 Å, c = 3.227 Å
α = 90.00°, β = 90.00°, γ = 90.00°
Fractional coordinates of all 10 atoms:
Sc  0.124  0.376  0.000
Sc  0.376  0.876  0.000
Sc  0.624  0.124  0.000
Sc  0.876  0.624  0.000
Ti  0.000  0.000  0.000
Ti  0.500  0.500  0.000
In  0.176  0.676  0.500
In  0.324  0.176  0.500
In  0.676  0.824  0.500
In  0.824  0.324  0.500

---

No. 15
Here is crystalline ScTi3In3 at its relaxed geometry from the Alexandria database. Energies are from PBE.

* calculated total energy: -5.628 eV/atom
* N(E_F): 1.0830 states/eV per atom
* M_tot: 1.18 μB/cell
* calculated volume: 282.3 Å³/cell

a = 8.283 Å, b = 8.283 Å, c = 4.751 Å
α = 90.00°, β = 90.00°, γ = 120.00°
Fractional coordinates of all 14 atoms:
Sc  0.333  0.667  0.250
Sc  0.667  0.333  0.750
Ti  0.014  0.802  0.250
Ti  0.198  0.212  0.250
Ti  0.212  0.014  0.750
Ti  0.788  0.986  0.250
Ti  0.802  0.788  0.750
Ti  0.986  0.198  0.750
In  0.081  0.629  0.750
In  0.371  0.452  0.750
In  0.452  0.081  0.250
In  0.548  0.919  0.750
In  0.629  0.548  0.250
In  0.919  0.371  0.250

---

No. 16
Here is crystalline ScTiIn2 at its relaxed geometry from the Alexandria database. Energies are from PBE.

* calculated total energy: -5.190 eV/atom
* polymorph energy (0 for the lowest one): 0 kJ/mol of formula units
* N(E_F): 0.5221 states/eV per atom
* M_tot: 1.59 μB/cell
* calculated volume: 83.7 Å³/cell

a = 4.389 Å, b = 4.389 Å, c = 4.344 Å
α = 90.00°, β = 90.00°, γ = 90.00°
Fractional coordinates of all 4 atoms:
Sc  0.000  0.000  0.000
Ti  0.500  0.500  0.000
In  0.000  0.500  0.500
In  0.500  0.000  0.500

---

No. 17
Here is crystalline ScTiIn at its relaxed geometry from the Alexandria database. Energies are from PBE.

* calculated total energy: -5.169 eV/atom
* polymorph energy (0 for the lowest one): 205 kJ/mol of formula units
* N(E_F): 1.4085 states/eV per atom
* M_tot: 2.15 μB/cell
* calculated volume: 157.9 Å³/cell

a = 7.272 Å, b = 7.272 Å, c = 2.987 Å
α = 90.00°, β = 90.00°, γ = 91.44°
Fractional coordinates of all 6 atoms:
Sc  0.235  0.235  0.000
Sc  0.765  0.765  0.000
Ti  0.000  0.000  0.500
Ti  0.500  0.500  0.000
In  0.263  0.737  0.500
In  0.737  0.263  0.500

---

No. 18
Here is crystalline Sc2TiIn at its relaxed geometry from the Alexandria database. Energies are from PBE.

* calculated total energy: -5.924 eV/atom
* N(E_F): 0.9630 states/eV per atom
* M_tot: 0.00 μB/cell
* calculated volume: 88.3 Å³/cell

a = 9.996 Å, b = 9.996 Å, c = 9.996 Å
α = 18.55°, β = 18.55°, γ = 18.55°
Fractional coordinates of all 4 atoms:
Sc  0.000  0.000  0.000
Sc  0.159  0.159  0.159
Ti  0.746  0.746  0.746
In  0.580  0.580  0.580

---

No. 19
Here is crystalline ScTiIn at its relaxed geometry from the Alexandria database. Energies are from PBE.

* calculated total energy: -5.700 eV/atom
* polymorph energy (0 for the lowest one): 52 kJ/mol of formula units
* N(E_F): 0.5448 states/eV per atom
* M_tot: 2.04 μB/cell
* calculated volume: 61.8 Å³/cell

a = 4.880 Å, b = 4.880 Å, c = 2.997 Å
α = 90.00°, β = 90.00°, γ = 120.00°
Fractional coordinates of all 3 atoms:
Sc  0.000  0.000  0.000
Ti  0.333  0.667  0.000
In  0.667  0.333  0.500

---

No. 20
Here is crystalline Sc4Ti9In11 at its relaxed geometry from the Alexandria database. Energies are from PBE.

* calculated total energy: -5.397 eV/atom
* N(E_F): 1.0191 states/eV per atom
* M_tot: 8.32 μB/cell
* calculated volume: 490.6 Å³/cell

a = 13.184 Å, b = 13.184 Å, c = 3.071 Å
α = 90.00°, β = 90.00°, γ = 113.21°
Fractional coordinates of all 24 atoms:
Sc  0.092  0.258  0.000
Sc  0.258  0.092  0.000
Sc  0.742  0.908  0.000
Sc  0.908  0.742  0.000
Ti  0.000  0.000  0.000
Ti  0.114  0.683  0.000
Ti  0.304  0.497  0.000
Ti  0.317  0.886  0.000
Ti  0.497  0.304  0.000
Ti  0.503  0.696  0.000
Ti  0.683  0.114  0.000
Ti  0.696  0.503  0.000
Ti  0.886  0.317  0.000
In  0.095  0.465  0.500
In  0.119  0.881  0.500
In  0.300  0.300  0.500
In  0.309  0.691  0.500
In  0.465  0.095  0.500
In  0.500  0.500  0.500
In  0.535  0.905  0.500
In  0.691  0.309  0.500
In  0.700  0.700  0.500
In  0.881  0.119  0.500
In  0.905  0.535  0.500

---

No. 21
Here is crystalline Sc2TiIn at its relaxed geometry from the Alexandria database. Energies are from PBE.

* calculated total energy: -6.014 eV/atom
* N(E_F): 0.7794 states/eV per atom
* M_tot: 2.28 μB/cell
* calculated volume: 86.0 Å³/cell

a = 4.451 Å, b = 4.451 Å, c = 4.341 Å
α = 90.00°, β = 90.00°, γ = 90.00°
Fractional coordinates of all 4 atoms:
Sc  0.000  0.500  0.000
Sc  0.500  0.000  0.000
Ti  0.000  0.000  0.500
In  0.500  0.500  0.500

---

No. 22
Here is crystalline Sc2TiIn at its relaxed geometry from the Alexandria database. Energies are from PBE.

* calculated total energy: -5.554 eV/atom
* N(E_F): 0.9382 states/eV per atom
* M_tot: 2.07 μB/cell
* calculated volume: 181.6 Å³/cell

a = 10.854 Å, b = 10.854 Å, c = 10.854 Å
α = 157.85°, β = 157.85°, γ = 31.52°
Fractional coordinates of all 8 atoms:
Sc  0.124  0.625  0.999
Sc  0.375  0.374  0.499
Sc  0.626  0.125  0.001
Sc  0.875  0.876  0.501
Ti  0.000  0.000  0.000
Ti  0.750  0.250  0.500
In  0.250  0.750  0.500
In  0.500  0.500  0.000

---

No. 23
Here is crystalline ScTiIn2 at its relaxed geometry from the Alexandria database. Energies are from PBE.

* calculated total energy: -4.809 eV/atom
* polymorph energy (0 for the lowest one): 147 kJ/mol of formula units
* N(E_F): 0.8626 states/eV per atom
* M_tot: 1.94 μB/cell
* calculated volume: 184.8 Å³/cell

a = 6.298 Å, b = 6.298 Å, c = 6.298 Å
α = 103.44°, β = 103.44°, γ = 122.36°
Fractional coordinates of all 8 atoms:
Sc  0.000  0.000  0.000
Sc  0.750  0.250  0.500
Ti  0.250  0.750  0.500
Ti  0.500  0.500  0.000
In  0.137  0.625  0.012
In  0.375  0.387  0.512
In  0.613  0.125  0.988
In  0.875  0.863  0.488

---

No. 24
Here is crystalline Sc2TiIn3 at its relaxed geometry from the Alexandria database. Energies are from PBE.

* calculated total energy: -5.116 eV/atom
* N(E_F): 0.7671 states/eV per atom
* M_tot: 3.81 μB/cell
* calculated volume: 256.7 Å³/cell

a = 6.988 Å, b = 6.988 Å, c = 8.730 Å
α = 90.00°, β = 90.00°, γ = 142.98°
Fractional coordinates of all 12 atoms:
Sc  0.000  0.000  0.000
Sc  0.000  0.000  0.500
Sc  0.334  0.666  0.000
Sc  0.666  0.334  0.000
Ti  0.327  0.673  0.500
Ti  0.673  0.327  0.500
In  0.168  0.832  0.256
In  0.168  0.832  0.744
In  0.500  0.500  0.257
In  0.500  0.500  0.743
In  0.832  0.168  0.256
In  0.832  0.168  0.744

---

No. 25
Here is crystalline Sc2TiIn2 at its relaxed geometry from the Alexandria database. Energies are from PBE.

* calculated total energy: -5.361 eV/atom
* polymorph energy (0 for the lowest one): 0 kJ/mol of formula units
* N(E_F): 0.9007 states/eV per atom
* M_tot: 5.25 μB/cell
* calculated volume: 228.4 Å³/cell

a = 7.721 Å, b = 7.721 Å, c = 3.831 Å
α = 90.00°, β = 90.00°, γ = 90.00°
Fractional coordinates of all 10 atoms:
Sc  0.171  0.329  0.000
Sc  0.329  0.829  0.000
Sc  0.671  0.171  0.000
Sc  0.829  0.671  0.000
Ti  0.000  0.000  0.500
Ti  0.500  0.500  0.500
In  0.133  0.633  0.500
In  0.367  0.133  0.500
In  0.633  0.867  0.500
In  0.867  0.367  0.500

---

No. 26
Here is crystalline ScTi3In at its relaxed geometry from the Alexandria database. Energies are from PBE.

* calculated total energy: -5.509 eV/atom
* polymorph energy (0 for the lowest one): 8 kJ/mol of formula units
* N(E_F): 0.7409 states/eV per atom
* M_tot: 3.69 μB/cell
* calculated volume: 128.1 Å³/cell

a = 5.041 Å, b = 5.041 Å, c = 5.041 Å
α = 90.00°, β = 90.00°, γ = 90.00°
Fractional coordinates of all 5 atoms:
Sc  0.000  0.000  0.000
Ti  0.000  0.500  0.500
Ti  0.500  0.000  0.500
Ti  0.500  0.500  0.000
In  0.500  0.500  0.500